## CaLaInCu2 (GGA-PBE)

Data for a relaxed CaLaInCu2 crystal.

The structure in POSCAR format:
```
CaLaInCu2
1.0
5.202 0.000 0.000
0.000 5.202 0.000
0.000 0.000 6.302
Ca La In Cu
1 1 1 2
direct
0.000 0.000 0.000
0.000 0.000 0.500
0.500 0.500 0.000
0.000 0.500 0.500
0.500 0.000 0.500
```

Results
The value obtained for the magnetization is 0.000 μB per atom. As for the raw total energy: -13.474 eV/cell. For the energy relative to the elements, the calculation gives 0.877 eV/atom. The space group is P4/mmm, No. 123.



## Li3Ca2InCu12 (GGA-PBE)

Data for a relaxed Li3Ca2InCu12 crystal.

The structure in POSCAR format:
```
Li3Ca2InCu12
1.0
3.085 1.781 9.221
-3.085 1.781 9.221
0.000 -3.562 9.221
Li Ca In Cu
3 2 1 12
direct
0.000 0.500 0.500
0.500 0.000 0.500
0.500 0.500 0.000
0.139 0.139 0.139
0.861 0.861 0.861
0.500 0.500 0.500
0.046 0.624 0.624
0.085 0.085 0.700
0.085 0.700 0.085
0.300 0.915 0.915
0.376 0.376 0.954
0.376 0.954 0.376
0.624 0.046 0.624
0.624 0.624 0.046
0.700 0.085 0.085
0.915 0.300 0.915
0.915 0.915 0.300
0.954 0.376 0.376
```

Results
The value obtained for the magnetization is 0.000 μB per atom. As for the raw total energy: -59.365 eV/cell. For the energy relative to the elements, the calculation gives 0.126 eV/atom. The space group is R-3m, No. 166.



## CaLuInCu (GGA-PBE)

Data for a relaxed CaLuInCu crystal.

The structure in POSCAR format:
```
CaLuInCu
1.0
0.000 3.636 3.636
3.636 0.000 3.636
3.636 3.636 0.000
Ca Lu In Cu
1 1 1 1
direct
0.000 0.000 0.000
0.500 0.500 0.500
0.750 0.750 0.750
0.250 0.250 0.250
```

Results
The value obtained for the magnetization is 0.000 μB per atom. As for the raw total energy: -14.344 eV/cell. For the energy relative to the elements, the calculation gives -0.247 eV/atom. The space group is F-43m, No. 216.